The following is a PBE-GGA calculation of a relaxed BaHgIrO6 crystal, from the Alexandria database.

a = 5.9120 Å, b = 5.9120 Å, c = 5.2796 Å
α = 90.57°, β = 90.57°, γ = 119.86°
Positions (direct):
Ba  0.0000  0.0000  0.0000
Hg  0.3617  0.6383  0.5000
Ir  0.7056  0.2944  0.5000
O  0.0449  0.3443  0.6739
O  0.4054  0.2450  0.3384
O  0.5627  0.0760  0.7644
O  0.6557  0.9551  0.3261
O  0.7550  0.5946  0.6616
O  0.9240  0.4373  0.2356

## Properties
As for the density of states at the Fermi level: 3.80 states/eV/cell. The crystal system is monoclinic. The total DFT energy (no corrections) comes out at -5.473 eV/atom. The calculated density is 6498 kg/m³. The total magnetization comes out at 0.863 μB/f.u. The value obtained for the formation energy from raw total energies is -8.420 eV/f.u.